Below is CsSmAl after structural relaxation, with properties calculated at the PBE level. Values from VASP.

Geometry as Quantum ESPRESSO input:
```
&SYSTEM
  ibrav = 0, nat = 3, ntyp = 3
/
ATOMIC_SPECIES
Cs 132.91 Cs.upf
Sm 150.36 Sm.upf
Al 26.98 Al.upf
CELL_PARAMETERS angstrom
0.000 3.885 3.885
3.885 0.000 3.885
3.885 3.885 0.000
ATOMIC_POSITIONS crystal
Cs 0.000 0.000 0.000
Sm 0.750 0.750 0.750
Al 0.500 0.500 0.500
```

Calculated values
E_tot	-2.346	eV per atom
total moment	0.07	Bohr magnetons per cell
volume	117.3	Å³/f.u.

Below is Y2HfHg after structural relaxation, with properties calculated at the PBE level. Values from VASP.

Geometry as Quantum ESPRESSO input:
```
&SYSTEM
  ibrav = 0, nat = 4, ntyp = 3
/
ATOMIC_SPECIES
Y 88.91 Y.upf
Hf 178.49 Hf.upf
Hg 200.59 Hg.upf
CELL_PARAMETERS angstrom
0.000 3.683 3.683
3.683 0.000 3.683
3.683 3.683 0.000
ATOMIC_POSITIONS crystal
Y 0.000 0.000 0.000
Y 0.250 0.250 0.250
Hf 0.750 0.750 0.750
Hg 0.500 0.500 0.500
```

Calculated values
E_tot	-5.638	eV per atom
total moment	1.66	Bohr magnetons per cell
volume	99.9	Å³/f.u.
DFT formation energy	0.158	eV per atom

Below is Li4AlCu2Sn after structural relaxation, with properties calculated at the PBE level. Values from VASP.

Geometry as Quantum ESPRESSO input:
```
&SYSTEM
  ibrav = 0, nat = 8, ntyp = 4
/
ATOMIC_SPECIES
Li 6.94 Li.upf
Al 26.98 Al.upf
Cu 63.55 Cu.upf
Sn 118.71 Sn.upf
CELL_PARAMETERS angstrom
4.312 0.000 0.000
0.000 4.312 0.000
0.000 0.000 6.105
ATOMIC_POSITIONS crystal
Li 0.000 0.000 0.000
Li 0.000 0.500 0.241
Li 0.500 0.000 0.759
Li 0.500 0.500 0.500
Al 0.500 0.500 0.000
Cu 0.000 0.500 0.767
Cu 0.500 0.000 0.233
Sn 0.000 0.000 0.500
```

Calculated values
E_tot	-3.105	eV per atom
volume	113.5	Å³/f.u.

What did the third record say?
Below is Li4AlCu2Sn after structural relaxation, with properties calculated at the PBE level. Values from VASP.

Geometry as Quantum ESPRESSO input:
```
&SYSTEM
  ibrav = 0, nat = 8, ntyp = 4
/
ATOMIC_SPECIES
Li 6.94 Li.upf
Al 26.98 Al.upf
Cu 63.55 Cu.upf
Sn 118.71 Sn.upf
CELL_PARAMETERS angstrom
4.312 0.000 0.000
0.000 4.312 0.000
0.000 0.000 6.105
ATOMIC_POSITIONS crystal
Li 0.000 0.000 0.000
Li 0.000 0.500 0.241
Li 0.500 0.000 0.759
Li 0.500 0.500 0.500
Al 0.500 0.500 0.000
Cu 0.000 0.500 0.767
Cu 0.500 0.000 0.233
Sn 0.000 0.000 0.500
```

Calculated values
E_tot	-3.105	eV per atom
volume	113.5	Å³/f.u.